(one)
Computed, not measured: crystalline Li2In2Ag5 at its relaxed geometry at the PBE level of DFT.

Summary:
Symmetry = Imma

Cell: 7.3082 5.8104 9.2563 Å, 108.29 113.25 90.00°
Fractional coordinates of all 18 atoms:
Ag  0.2005  0.7871  0.5000
Ag  0.5869  0.1245  0.6742
Ag  0.8575  0.8944  0.2143
Ag  0.8568  0.3944  0.2143
Ag  0.5873  0.6245  0.6742
Ag  0.1425  0.6801  0.7857
Ag  0.4131  0.4503  0.3258
Ag  0.4127  0.9503  0.3258
Ag  0.7995  0.2871  0.5000
Ag  0.1432  0.1801  0.7857
Li  0.8307  0.4924  0.9101
Li  0.5794  0.9924  0.9101
Li  0.1693  0.5823  0.0899
Li  0.4206  0.0823  0.0899
In  0.0000  0.0378  0.0000
In  0.8028  0.7872  0.5000
In  0.1972  0.2872  0.5000
In  0.5000  0.5378  0.0000

=====

(two)
Computed, not measured: crystalline Li2In2Ag5 at its relaxed geometry at the PBE level of DFT.

Summary:
Symmetry = P-1

Cell: 5.4664 7.4255 7.4448 Å, 143.28 67.42 112.57°
Fractional coordinates of all 9 atoms:
In  0.2939  0.2206  0.7801
In  0.7061  0.7794  0.2199
Ag  0.0290  0.3587  0.6400
Ag  0.0000  0.0000  0.0000
Ag  0.6471  0.1126  0.8894
Ag  0.3529  0.8874  0.1106
Ag  0.9710  0.6413  0.3600
Li  0.6528  0.4395  0.5594
Li  0.3472  0.5605  0.4406

=====

Stability comparison, relative energies in meV/atom: (one) 87; (two) 0

=====

(one)
Computed, not measured: crystalline Li2InAg6 at its relaxed geometry at the PBE level of DFT.

Summary:
Symmetry = C2/m

Cell: 4.5593 7.5872 7.5872 Å, 43.42 72.60 72.60°
Fractional coordinates of all 9 atoms:
Li  0.1695  0.3307  0.3307
Li  0.8305  0.6693  0.6693
Ag  0.6075  0.1421  0.6435
Ag  0.6075  0.6435  0.1421
Ag  0.3925  0.3565  0.8579
Ag  0.7906  0.2096  0.2096
Ag  0.3925  0.8579  0.3565
Ag  0.2094  0.7904  0.7904
In  0.0000  0.0000  0.0000

=====

(two)
Computed, not measured: crystalline Li2InAg6 at its relaxed geometry at the PBE level of DFT.

Summary:
Symmetry = C2/c

Cell: 5.0770 8.1665 8.1665 Å, 72.71 83.98 83.98°
Fractional coordinates of all 18 atoms:
Ag  0.4718  0.6759  0.4360
Ag  0.1981  0.9883  0.2548
Ag  0.0282  0.5640  0.3241
Ag  0.1591  0.3563  0.0998
Ag  0.6981  0.2548  0.9883
Ag  0.8019  0.0117  0.7452
Ag  0.9718  0.4360  0.6759
Ag  0.5282  0.3241  0.5640
Ag  0.6591  0.0998  0.3563
Ag  0.8409  0.6437  0.9002
Ag  0.3019  0.7452  0.0117
Ag  0.3409  0.9002  0.6437
Li  0.4067  0.5392  0.7865
Li  0.5933  0.4608  0.2135
Li  0.9067  0.7865  0.5392
Li  0.0933  0.2135  0.4608
In  0.2500  0.1277  0.8723
In  0.7500  0.8723  0.1277

=====

Stability comparison, relative energies in meV/atom: (one) 29; (two) 0

=====

(one)
Computed, not measured: crystalline Li4In2Ag at its relaxed geometry at the PBE level of DFT.

Summary:
Symmetry = R-3m

Cell: 4.6909 4.6909 7.3193 Å, 71.31 71.31 60.00°
Fractional coordinates of all 7 atoms:
Ag  0.0000  0.0000  0.0000
Li  0.4216  0.4216  0.7351
Li  0.8633  0.8633  0.4100
Li  0.1367  0.1367  0.5900
Li  0.5784  0.5784  0.2649
In  0.7234  0.7234  0.8299
In  0.2766  0.2766  0.1701

=====

(two)
Computed, not measured: crystalline Li4In2Ag at its relaxed geometry at the PBE level of DFT.

Summary:
Symmetry = Cmmm

Cell: 2.9935 4.8954 9.9516 Å, 104.24 90.00 90.00°
Fractional coordinates of all 7 atoms:
Li  0.0000  0.9286  0.8572
Li  0.5000  0.6267  0.2534
Li  0.5000  0.3733  0.7466
Li  0.0000  0.0714  0.1428
In  0.5000  0.7969  0.5939
In  0.5000  0.2031  0.4061
Ag  0.0000  0.5000  0.0000

=====

Stability comparison, relative energies in meV/atom: (one) 0; (two) 122

=====

(one)
Computed, not measured: crystalline Li2In5Ag5 at its relaxed geometry at the PBE level of DFT.

Summary:
Symmetry = C2/m

Cell: 4.2649 6.7628 9.1902 Å, 75.55 76.58 71.62°
Fractional coordinates of all 12 atoms:
Ag  0.1622  0.1743  0.5013
Ag  0.2530  0.7441  0.7499
Ag  0.0000  0.0000  0.0000
Ag  0.7470  0.2559  0.2501
Ag  0.8378  0.8257  0.4987
Li  0.9150  0.4291  0.7409
Li  0.0850  0.5709  0.2591
In  0.5926  0.0740  0.7408
In  0.5000  0.5000  0.5000
In  0.3376  0.3310  0.9938
In  0.4074  0.9260  0.2592
In  0.6624  0.6690  0.0062

=====

(two)
Computed, not measured: crystalline Li2In5Ag5 at its relaxed geometry at the PBE level of DFT.

Summary:
Symmetry = C2/m

Cell: 4.8719 7.1837 8.2136 Å, 113.95 90.00 109.82°
Fractional coordinates of all 12 atoms:
Ag  0.4162  0.8324  0.0972
Ag  0.6551  0.3102  0.2914
Ag  0.5000  0.0000  0.5000
Ag  0.5838  0.1676  0.9028
Ag  0.3449  0.6898  0.7086
In  0.8980  0.7960  0.5570
In  0.7377  0.4753  0.7444
In  0.2623  0.5247  0.2556
In  0.1020  0.2040  0.4430
In  0.0000  0.0000  0.0000
Li  0.8263  0.6527  0.1460
Li  0.1737  0.3473  0.8540

=====

Stability comparison, relative energies in meV/atom: (one) 0; (two) 17